Material: CsCuS5
Method: DFT, GGA-PBE
State: relaxed

Results
Size of the total moment in μB/f.u.: 0.000
E_form (uncorrected) in eV/atom: -0.304
Uncorrected energy in eV per atom: -3.959

Structure (CIF):
```
data_CsCuS5
_cell_length_a 5.5414
_cell_length_b 5.9881
_cell_length_c 7.8532
_cell_angle_alpha 98.02
_cell_angle_beta 96.58
_cell_angle_gamma 116.98
_symmetry_space_group_name_H-M 'P 1'
_symmetry_Int_Tables_number 1
loop_
_symmetry_equiv_pos_as_xyz
'x,y,z'
loop_
_atom_site_label
_atom_site_type_symbol
_atom_site_fract_x
_atom_site_fract_y
_atom_site_fract_z
_atom_site_occupancy
Cs1 Cs 0.0000 0.0000 0.0000 1
Cu1 Cu 0.5157 0.0511 0.5301 1
S1 S 0.1491 0.5116 0.7753 1
S2 S 0.2437 0.6447 0.5126 1
S3 S 0.6362 0.1844 0.2884 1
S4 S 0.7377 0.3805 0.7668 1
S5 S 0.8638 0.5765 0.3905 1
```